VASP calculation (PBE-GGA) on crystalline MgZrNiB at its relaxed geometry.

Values from the calculation:
Distance to the lowest polymorph of the same formula: 403 meV per atom
Crystal system: cubic
Total moment: 0.00 μB/f.u.

CIF file:
```
data_MgZrNiB
_cell_length_a 6.0152
_cell_length_b 6.0152
_cell_length_c 6.0152
_cell_angle_alpha 90.00
_cell_angle_beta 90.00
_cell_angle_gamma 90.00
_symmetry_space_group_name_H-M 'F -4 3 m'
_symmetry_Int_Tables_number 216
_symmetry_space_group_name_Hall 'F -4 2 3'
loop_
_atom_site_label
_atom_site_fract_x
_atom_site_fract_y
_atom_site_fract_z
Mg1 0.0000 0.0000 0.0000
Zr1 0.2500 0.2500 0.7500
Ni1 0.0000 0.0000 0.5000
B1 0.2500 0.2500 0.2500
```